<one>
Material: PaSn2
Method: DFT, PBE
State: relaxed

Calculated values
For the mass density, the calculation gives 10.05 g/cm3. The calculation puts the volume at 155 Å³/cell. As for the density of states at the Fermi level: 9.5 states/eV/cell. The space-group type is No. 227.

```
PaSn2
1.0
0.000 4.261 4.261
4.261 0.000 4.261
4.261 4.261 0.000
Pa Sn
2 4
direct
0.125 0.125 0.125
0.875 0.875 0.875
0.000 0.500 0.500
0.500 0.000 0.500
0.500 0.500 0.000
0.500 0.500 0.500
```



<two>
Material: PaSn2
Method: DFT, PBE
State: relaxed

Calculated values
For the mass density, the calculation gives 10.07 g/cm3. The calculation puts the volume at 77 Å³/cell. As for the density of states at the Fermi level: 5.4 states/eV/cell. The space-group type is No. 69.

```
PaSn2
1.0
0.000 2.699 5.316
2.691 0.000 5.316
2.691 2.699 0.000
Pa Sn
1 2
direct
0.000 0.000 0.000
0.321 0.321 0.679
0.679 0.679 0.321
```



<three>
Material: PaSn2
Method: DFT, PBE
State: relaxed

Calculated values
For the mass density, the calculation gives 9.94 g/cm3. The calculation puts the volume at 157 Å³/cell. As for the density of states at the Fermi level: 8.2 states/eV/cell. The space-group type is No. 63.

```
PaSn2
1.0
2.233 -8.023 0.000
2.233 8.023 0.000
0.000 0.000 4.369
Pa Sn
2 4
direct
0.099 0.901 0.750
0.901 0.099 0.250
0.250 0.750 0.250
0.432 0.568 0.750
0.568 0.432 0.250
0.750 0.250 0.750
```



In terms of stability, <three> leads; the second structure lies 219 meV per atom higher.